Mg2Zr2As | PBE | relaxed

Summary:
Total moment: 0.000 μB/atom
Energy: -5.239 eV per atom
Energy relative to the elements: -0.25 eV/atom

abc: 6.949 6.949 4.901
angles: 90.00 90.00 90.00
Element x y z (fractional)
Mg 0.149 0.351 0.000
Mg 0.351 0.851 0.000
Mg 0.649 0.149 0.000
Mg 0.851 0.649 0.000
Zr 0.155 0.655 0.500
Zr 0.345 0.155 0.500
Zr 0.655 0.845 0.500
Zr 0.845 0.345 0.500
As 0.000 0.000 0.500
As 0.500 0.500 0.500

CaCeS2 | PBE | relaxed

Summary:
Total moment: 0.323 μB/atom
E above lowest polymorph: 0.116 eV/atom
Energy: -5.953 eV per atom

abc: 7.438 7.438 7.438
angles: 30.68 30.68 30.68
Element x y z (fractional)
Ca 0.000 0.000 0.000
Ce 0.174 0.174 0.174
S 0.589 0.589 0.589
S 0.755 0.755 0.755

Pa2TiNiN5 | PBE | relaxed

Summary:
Total moment: 0.000 μB/atom
Energy: -9.438 eV per atom

abc: 6.580 6.580 10.031
angles: 90.00 90.00 151.12
Element x y z (fractional)
Pa 0.104 0.896 0.500
Pa 0.144 0.856 0.128
Pa 0.856 0.144 0.628
Pa 0.896 0.104 0.000
Ti 0.196 0.804 0.831
Ti 0.804 0.196 0.331
Ni 0.470 0.530 0.276
Ni 0.530 0.470 0.776
N 0.055 0.945 0.895
N 0.280 0.720 0.484
N 0.320 0.680 0.197
N 0.366 0.634 0.819
N 0.488 0.512 0.593
N 0.512 0.488 0.093
N 0.634 0.366 0.319
N 0.680 0.320 0.697
N 0.720 0.280 0.984
N 0.945 0.055 0.395

Dy3Tm6Zr | PBE | relaxed

Summary:
Total moment: 0.119 μB/atom
E above lowest polymorph: 0.136 eV/atom
Energy: -4.634 eV per atom
Energy relative to the elements: 0.28 eV/atom

abc: 6.744 6.744 6.744
angles: 91.49 91.49 91.49
Element x y z (fractional)
Dy 0.000 0.000 0.000
Dy 0.250 0.250 0.250
Dy 0.738 0.738 0.738
Tm 0.054 0.699 0.369
Tm 0.211 0.542 0.855
Tm 0.369 0.054 0.699
Tm 0.542 0.855 0.211
Tm 0.699 0.369 0.054
Tm 0.855 0.211 0.542
Zr 0.498 0.498 0.498

KNiSb2 | PBE | relaxed

Summary:
Total moment: 0.000 μB/atom
E above lowest polymorph: 0.003 eV/atom
Energy: -4.070 eV per atom

abc: 4.083 4.083 7.918
angles: 104.98 104.98 60.04
Element x y z (fractional)
K 0.000 0.000 0.000
Ni 0.500 0.500 0.500
Sb 0.215 0.215 0.646
Sb 0.785 0.785 0.354

Dy2NiAg | PBE | relaxed

Summary:
Total moment: 0.000 μB/atom
E above lowest polymorph: 0.038 eV/atom
Energy: -4.772 eV per atom
Energy relative to the elements: -0.31 eV/atom

abc: 4.971 4.971 4.971
angles: 60.00 60.00 60.00
Element x y z (fractional)
Dy 0.250 0.250 0.250
Dy 0.750 0.750 0.750
Ni 0.000 0.000 0.000
Ag 0.500 0.500 0.500

LiSi2W | PBE | relaxed

Summary:
Total moment: 0.000 μB/atom
E above lowest polymorph: 0.202 eV/atom
Energy: -6.285 eV per atom

abc: 4.476 2.743 5.136
angles: 90.00 115.10 90.00
Element x y z (fractional)
Li 0.000 0.000 0.000
Si 0.500 0.000 0.500
Si 0.500 0.500 0.000
W 0.000 0.500 0.500

SrCa2 | PBE | relaxed

Summary:
Total moment: 0.000 μB/atom
E above lowest polymorph: 0.038 eV/atom
Energy: -1.843 eV per atom
Energy relative to the elements: 0.05 eV/atom

abc: 3.849 13.022 10.953
angles: 90.00 90.00 90.00
Element x y z (fractional)
Sr 0.000 0.115 0.250
Sr 0.000 0.885 0.750
Sr 0.500 0.385 0.750
Sr 0.500 0.615 0.250
Ca 0.171 0.371 0.081
Ca 0.171 0.629 0.581
Ca 0.329 0.129 0.581
Ca 0.329 0.871 0.081
Ca 0.671 0.129 0.919
Ca 0.671 0.871 0.419
Ca 0.829 0.371 0.419
Ca 0.829 0.629 0.919

La2FeGe6 | PBE | relaxed

Summary:
Total moment: 0.217 μB/atom
Energy: -5.376 eV per atom
Energy relative to the elements: -0.26 eV/atom

abc: 8.123 8.123 3.794
angles: 90.00 90.00 124.92
Element x y z (fractional)
La 0.179 0.821 0.000
La 0.821 0.179 0.000
Fe 0.500 0.500 0.500
Ge 0.187 0.477 0.500
Ge 0.284 0.284 0.000
Ge 0.477 0.187 0.500
Ge 0.523 0.813 0.500
Ge 0.716 0.716 0.000
Ge 0.813 0.523 0.500

SrCa2Cr | PBE | relaxed

Summary:
Total moment: 1.199 μB/atom
E above lowest polymorph: 0.153 eV/atom
Energy: -3.309 eV per atom
Energy relative to the elements: 0.52 eV/atom

abc: 7.056 7.056 3.727
angles: 102.25 102.25 118.97
Element x y z (fractional)
Sr 0.000 0.000 0.000
Ca 0.000 0.500 0.500
Ca 0.500 0.000 0.500
Cr 0.500 0.500 0.000

BaScAs2 | PBE | relaxed

Summary:
Total moment: 0.000 μB/atom
E above lowest polymorph: 0.295 eV/atom
Energy: -5.126 eV per atom
Energy relative to the elements: -0.74 eV/atom

abc: 8.731 8.731 8.731
angles: 138.11 138.11 60.73
Element x y z (fractional)
Ba 0.000 0.000 0.000
Ba 0.750 0.250 0.500
Sc 0.250 0.750 0.500
Sc 0.500 0.500 0.000
As 0.236 0.625 0.111
As 0.375 0.486 0.611
As 0.514 0.125 0.889
As 0.875 0.764 0.389

CeZr3N4 | PBE | relaxed

Summary:
Total moment: 0.000 μB/atom
E above lowest polymorph: 0.185 eV/atom
Energy: -9.579 eV per atom

abc: 4.735 7.814 6.678
angles: 90.00 90.00 90.00
Element x y z (fractional)
Ce 0.250 0.250 0.156
Ce 0.750 0.750 0.844
Zr 0.250 0.001 0.666
Zr 0.250 0.499 0.666
Zr 0.250 0.750 0.183
Zr 0.750 0.250 0.817
Zr 0.750 0.501 0.334
Zr 0.750 0.999 0.334
N 0.250 0.250 0.801
N 0.250 0.506 0.344
N 0.250 0.750 0.838
N 0.250 0.994 0.344
N 0.750 0.006 0.656
N 0.750 0.250 0.162
N 0.750 0.494 0.656
N 0.750 0.750 0.199